(1)
Computed, not measured: a relaxed CsBaTbBr6 crystal at the PBE-GGA level of DFT.

Structure (POSCAR):
```
CsBaTbBr6
1.0
8.080 0.000 0.000
-4.040 6.998 0.000
0.000 0.000 15.101
Cs Ba Tb Br
2 2 2 12
Direct
0.000 0.000 0.000
0.000 0.000 0.500
0.333 0.667 0.250
0.667 0.333 0.750
0.333 0.667 0.750
0.667 0.333 0.250
0.038 0.393 0.640
0.038 0.645 0.860
0.355 0.393 0.860
0.355 0.962 0.640
0.393 0.038 0.140
0.393 0.355 0.360
0.607 0.645 0.640
0.607 0.962 0.860
0.645 0.038 0.360
0.645 0.607 0.140
0.962 0.355 0.140
0.962 0.607 0.360
```

- SG = P-31c (163)
- energy relative to the elements, uncorrected (eV/atom) = -1.99
- raw total energy (eV/f.u.) = -35.324
- density (Mg/m³) = 3.534
- crystal system = trigonal

(2)
Computed, not measured: a relaxed DyNpIrO6 crystal at the PBE-GGA level of DFT.

Structure (POSCAR):
```
DyNpIrO6
1.0
5.603 0.000 0.000
-2.802 4.852 0.000
0.000 0.000 8.556
Dy Np Ir O
2 2 2 12
Direct
0.333 0.667 0.250
0.667 0.333 0.750
0.333 0.667 0.750
0.667 0.333 0.250
0.000 0.000 0.000
0.000 0.000 0.500
0.026 0.332 0.623
0.026 0.693 0.877
0.307 0.332 0.877
0.307 0.974 0.623
0.332 0.026 0.123
0.332 0.307 0.377
0.668 0.693 0.623
0.668 0.974 0.877
0.693 0.026 0.377
0.693 0.668 0.123
0.974 0.307 0.123
0.974 0.668 0.377
```

- SG = P-31c (163)
- energy relative to the elements, uncorrected (eV/atom) = -2.20
- raw total energy (eV/f.u.) = -75.970
- density (Mg/m³) = 9.819
- crystal system = trigonal

(3)
Computed, not measured: a relaxed AuI2Br2 crystal at the PBE-GGA level of DFT.

Structure (POSCAR):
```
AuI2Br2
1.0
7.478 0.000 0.000
0.000 7.478 0.000
0.000 0.000 8.372
Au I Br
2 4 4
Direct
0.000 0.000 0.000
0.500 0.500 0.000
0.175 0.325 0.000
0.325 0.825 0.000
0.675 0.175 0.000
0.825 0.675 0.000
0.109 0.609 0.500
0.391 0.109 0.500
0.609 0.891 0.500
0.891 0.391 0.500
```

- SG = P4/mbm (127)
- energy relative to the elements, uncorrected (eV/atom) = 0.07
- raw total energy (eV/f.u.) = -9.352
- density (Mg/m³) = 4.332
- crystal system = tetragonal

(4)
Computed, not measured: a relaxed In2BiS4 crystal at the PBE-GGA level of DFT.

Structure (POSCAR):
```
In2BiS4
1.0
5.638 0.000 0.000
0.000 5.638 0.000
0.000 0.000 6.816
In Bi S
2 1 4
Direct
0.000 0.500 0.000
0.500 0.000 0.000
0.000 0.000 0.500
0.262 0.262 0.771
0.262 0.738 0.229
0.738 0.262 0.229
0.738 0.738 0.771
```

- SG = P-42m (111)
- energy relative to the elements, uncorrected (eV/atom) = -0.31
- raw total energy (eV/f.u.) = -28.045
- density (Mg/m³) = 4.345
- crystal system = tetragonal

(5)
Computed, not measured: a relaxed Rb2Mn2Br5 crystal at the PBE-GGA level of DFT.

Structure (POSCAR):
```
Rb2Mn2Br5
1.0
7.489 -2.235 0.000
7.489 2.235 0.000
-0.279 0.000 9.027
Rb Mn Br
2 2 5
Direct
0.073 0.073 0.305
0.927 0.927 0.695
0.334 0.334 0.114
0.666 0.666 0.886
0.262 0.262 0.840
0.396 0.396 0.382
0.500 0.500 0.000
0.604 0.604 0.618
0.738 0.738 0.160
```

- SG = C2/m (12)
- energy relative to the elements, uncorrected (eV/atom) = -0.98
- raw total energy (eV/f.u.) = -37.477
- density (Mg/m³) = 3.739
- crystal system = monoclinic

(6)
Computed, not measured: a relaxed BaMo2Ru crystal at the PBE-GGA level of DFT.

Structure (POSCAR):
```
BaMo2Ru
1.0
2.933 0.000 0.000
0.000 2.933 0.000
0.000 0.000 9.396
Ba Mo Ru
1 2 1
Direct
0.000 0.000 0.000
0.500 0.500 0.314
0.500 0.500 0.686
0.000 0.000 0.500
```

- SG = P4/mmm (123)
- raw total energy (eV/f.u.) = -29.422
- density (Mg/m³) = 8.841
- calculated formation energy (eV/atom) = 0.860
- crystal system = tetragonal

(7)
Computed, not measured: a relaxed Nd2DyPt crystal at the PBE-GGA level of DFT.

Structure (POSCAR):
```
Nd2DyPt
1.0
1.940 -6.032 0.000
1.940 6.032 0.000
0.000 0.000 10.009
Nd Dy Pt
4 2 2
Direct
0.137 0.863 0.563
0.137 0.863 0.937
0.863 0.137 0.063
0.863 0.137 0.437
0.419 0.581 0.750
0.581 0.419 0.250
0.261 0.739 0.250
0.739 0.261 0.750
```

- SG = Cmcm (63)
- raw total energy (eV/f.u.) = -22.617
- density (Mg/m³) = 9.161
- calculated formation energy (eV/atom) = -0.610
- crystal system = orthorhombic

(8)
Computed, not measured: a relaxed TlZn2B crystal at the PBE-GGA level of DFT.

Structure (POSCAR):
```
TlZn2B
1.0
0.000 3.267 3.267
3.267 0.000 3.267
3.267 3.267 0.000
Tl Zn B
1 2 1
Direct
0.000 0.000 0.000
0.250 0.250 0.250
0.750 0.750 0.750
0.500 0.500 0.500
```

- SG = Fm-3m (225)
- raw total energy (eV/f.u.) = -7.465
- density (Mg/m³) = 8.238
- calculated formation energy (eV/atom) = 1.032
- crystal system = cubic

(9)
Computed, not measured: a relaxed AcTbPrAg crystal at the PBE-GGA level of DFT.

Structure (POSCAR):
```
AcTbPrAg
1.0
0.000 3.991 3.991
3.991 0.000 3.991
3.991 3.991 0.000
Ac Tb Pr Ag
1 1 1 1
Direct
0.000 0.000 0.000
0.250 0.250 0.250
0.750 0.750 0.750
0.500 0.500 0.500
```

- SG = F-43m (216)
- raw total energy (eV/f.u.) = -15.710
- density (Mg/m³) = 8.288
- calculated formation energy (eV/atom) = 0.165
- crystal system = cubic

(10)
Computed, not measured: a relaxed La2Br3 crystal at the PBE-GGA level of DFT.

Structure (POSCAR):
```
La2Br3
1.0
0.000 6.897 3.813
6.340 0.000 3.813
6.340 6.897 0.000
La Br
4 6
Direct
0.070 0.430 0.169
0.081 0.919 0.180
0.430 0.070 0.331
0.919 0.081 0.820
0.278 0.494 0.327
0.349 0.923 0.756
0.494 0.278 0.901
0.676 0.676 0.324
0.923 0.349 0.972
0.926 0.926 0.574
```

- SG = Fdd2 (43)
- energy relative to the elements, uncorrected (eV/atom) = -1.44
- raw total energy (eV/f.u.) = -22.058
- density (Mg/m³) = 5.155
- crystal system = orthorhombic

(11)
Computed, not measured: a relaxed Eu3Bi crystal at the PBE-GGA level of DFT.

Structure (POSCAR):
```
Eu3Bi
1.0
7.344 0.000 0.000
-3.672 6.360 0.000
0.000 0.000 5.905
Eu Bi
6 2
Direct
0.173 0.346 0.250
0.173 0.827 0.250
0.346 0.173 0.750
0.654 0.827 0.250
0.827 0.173 0.750
0.827 0.654 0.750
0.333 0.667 0.750
0.667 0.333 0.250
```

- SG = P6_3/mmc (194)
- raw total energy (eV/f.u.) = -36.655
- density (Mg/m³) = 8.007
- calculated formation energy (eV/atom) = -0.488
- crystal system = hexagonal

(12)
Computed, not measured: a relaxed PmPuTlCd crystal at the PBE-GGA level of DFT.

Structure (POSCAR):
```
PmPuTlCd
1.0
0.000 3.838 3.838
3.838 0.000 3.838
3.838 3.838 0.000
Pm Pu Tl Cd
1 1 1 1
Direct
0.000 0.000 0.000
0.500 0.500 0.500
0.750 0.750 0.750
0.250 0.250 0.250
```

- SG = F-43m (216)
- raw total energy (eV/f.u.) = -22.959
- density (Mg/m³) = 10.363
- calculated formation energy (eV/atom) = -0.149
- crystal system = cubic

Question: Which of these has the highest raw total energy?
Answer: TlZn2B